! PBE LaTl2, relaxed; values from VASP
! DOS(E_F) ... 11.669 states/eV per cell
! Total magnetic moment ... 0.000 μB/atom
! E ... -3.46 eV per atom
! ΔH_f (0 K) ... -244 meV per atom
! Volume ... 29.839 A^3/atom
&SYSTEM
  ibrav = 0, nat = 12, ntyp = 2
/
ATOMIC_SPECIES
La 138.91 La.upf
Tl 204.38 Tl.upf
CELL_PARAMETERS angstrom
6.255 0.000 0.000
-3.128 5.417 0.000
0.000 0.000 10.566
ATOMIC_POSITIONS crystal
La 0.333 0.667 0.074
La 0.333 0.667 0.426
La 0.667 0.333 0.574
La 0.667 0.333 0.926
Tl 0.000 0.000 0.000
Tl 0.000 0.000 0.500
Tl 0.172 0.343 0.750
Tl 0.172 0.828 0.750
Tl 0.343 0.172 0.250
Tl 0.657 0.828 0.750
Tl 0.828 0.172 0.250
Tl 0.828 0.657 0.250